A plane-wave DFT calculation with PBE-GGA was carried out for a relaxed RbSbH crystal.

Cell lengths 6.5505, 3.5606, 8.0077 Å; angles 90.00, 107.56, 90.00 degrees
Last column: nearest neighbours and their distance in Å.
Element x y z (fractional)
Rb: 0.7161 0.5000 0.2385  4 H 2.90-3.04
Rb: 0.2839 0.5000 0.7615  4 H 2.90-3.04
Sb: 0.8182 0.0000 0.8477  1 Sb 2.85, 1 H 2.95
Sb: 0.1818 0.0000 0.1523  1 Sb 2.85, 1 H 2.95
H: 0.0290 0.0000 0.4634  1 H 0.79
H: 0.9710 0.0000 0.5366  1 H 0.79

Calculated values
theoretical density: 3.884 g/cm³
raw total energy: -18.0 eV per cell
DOS(E_F): 0.1594 states/eV per atom
total magnetic moment: 0.00 μB/cell

A plane-wave DFT calculation with PBE-GGA was carried out for a relaxed RbSbH crystal.

Cell lengths 3.5502, 5.9833, 16.0459 Å; angles 90.00, 90.00, 90.00 degrees
Last column: nearest neighbours and their distance in Å.
Element x y z (fractional)
Rb: 0.0000 0.0000 0.6234  4 H 3.23, 2 Rb 3.55
Rb: 0.0000 0.5000 0.1234  4 H 3.23, 2 Rb 3.55
Rb: 0.0000 0.0000 0.3848  2 H 3.07
Rb: 0.0000 0.5000 0.8848  2 H 3.07
Sb: 0.5000 0.0000 0.8198  1 Sb 2.84
Sb: 0.5000 0.5000 0.3198  1 Sb 2.84
Sb: 0.5000 0.0000 0.9966  1 Sb 2.84
Sb: 0.5000 0.5000 0.4966  1 Sb 2.84
H: 0.1072 0.0000 0.1952  1 H 0.76
H: 0.8928 0.0000 0.1952  1 H 0.76
H: 0.1072 0.5000 0.6952  1 H 0.76
H: 0.8928 0.5000 0.6952  1 H 0.76

Calculated values
theoretical density: 4.058 g/cm³
raw total energy: -36.0 eV per cell
DOS(E_F): 0.1897 states/eV per atom
total magnetic moment: 0.00 μB/cell

A plane-wave DFT calculation with PBE-GGA was carried out for a relaxed Rb4SbH crystal.

Cell lengths 7.4948, 10.7158, 8.8057 Å; angles 113.89, 97.73, 118.57 degrees
Last column: nearest neighbours and their distance in Å.
Element x y z (fractional)
Rb: 0.1396 0.2312 0.8447  2 H 3.60-3.69, 2 Sb 3.65-3.82, 2 Rb 3.83-3.89
Rb: 0.7713 0.7420 0.7013  2 H 3.04-3.09
Rb: 0.2051 0.6135 0.8447  2 H 3.60-3.69, 2 Sb 3.65-3.82, 2 Rb 3.83-3.89
Rb: 0.4300 0.9593 0.7013  2 H 3.04-3.09
Rb: 0.5700 0.0407 0.2987  2 H 3.04-3.09
Rb: 0.7949 0.3865 0.1553  2 H 3.60-3.69, 2 Sb 3.65-3.82, 2 Rb 3.83-3.89
Rb: 0.2287 0.2580 0.2987  2 H 3.04-3.09
Rb: 0.8604 0.7688 0.1553  2 H 3.60-3.69, 2 Sb 3.65-3.82, 2 Rb 3.83-3.89
Sb: 0.3963 0.6463 0.2927  8 Rb 3.65-3.82
Sb: 0.6037 0.3537 0.7073  8 Rb 3.65-3.82
H: 0.2456 0.9956 0.9912  4 Rb 3.04-3.09
H: 0.7544 0.0044 0.0088  4 Rb 3.04-3.09

Calculated values
theoretical density: 2.977 g/cm³
raw total energy: -25.5 eV per cell
total magnetic moment: 0.00 μB/cell

A plane-wave DFT calculation with PBE-GGA was carried out for a relaxed Rb3SbH crystal.

Cell lengths 10.2543, 9.4270, 10.8586 Å; angles 91.49, 90.00, 90.00 degrees
Last column: nearest neighbours and their distance in Å.
Element x y z (fractional)
Rb: 0.1196 0.0293 0.3434  2 H 3.03-3.16
Rb: 0.8804 0.9707 0.6566  2 H 3.03-3.16
Rb: 0.6196 0.9707 0.1566  2 H 3.03-3.16
Rb: 0.3804 0.0293 0.8434  2 H 3.03-3.16
Rb: 0.4664 0.2484 0.4769  1 H 3.26
Rb: 0.5336 0.7516 0.5231  1 H 3.26
Rb: 0.9664 0.7516 0.0231  1 H 3.26
Rb: 0.0336 0.2484 0.9769  1 H 3.26
Rb: 0.8564 0.4965 0.6443  3 Sb 3.76-3.95
Rb: 0.1436 0.5035 0.3557  3 Sb 3.76-3.95
Rb: 0.3564 0.5035 0.8557  3 Sb 3.76-3.95
Rb: 0.6436 0.4965 0.1443  3 Sb 3.76-3.95
Sb: 0.3497 0.2574 0.1447  1 H 1.78
Sb: 0.6503 0.7426 0.8553  1 H 1.78
Sb: 0.8497 0.7426 0.3553  1 H 1.78
Sb: 0.1503 0.2574 0.6447  1 H 1.78
H: 0.7811 0.9105 0.3979  1 Sb 1.78
H: 0.2189 0.0895 0.6021  1 Sb 1.78
H: 0.2811 0.0895 0.1021  1 Sb 1.78
H: 0.7189 0.9105 0.8979  1 Sb 1.78

Calculated values
theoretical density: 2.400 g/cm³
raw total energy: -45.3 eV per cell
DOS(E_F): 0.5043 states/eV per atom
total magnetic moment: 1.38 μB/cell